No. 1
BaTc2Ni | Alexandria via LeMat-Bulk | PBE | relaxed; calculated volume = 23.4 Å³/atom; total DFT energy (no corrections) = -6.72 eV/atom; formation enthalpy at 0 K = 150 kJ/mol of formula units
1.0
7.374 0.000 0.000
0.000 4.260 0.000
-2.468 0.000 5.948
Ba Tc Ni
2 4 2
Direct
0.000 0.000 0.000
0.500 0.500 0.000
0.311 0.500 0.430
0.493 0.000 0.477
0.811 0.000 0.430
0.993 0.500 0.477
0.196 0.000 0.585
0.696 0.500 0.585

=====

No. 2
BaTcNi2 | Alexandria via LeMat-Bulk | PBE | relaxed; calculated volume = 18.2 Å³/atom; total DFT energy (no corrections) = -4.95 eV/atom; formation enthalpy at 0 K = 390 kJ/mol of formula units
1.0
4.072 0.000 0.000
0.000 4.072 0.000
0.000 0.000 8.796
Ba Tc Ni
2 2 4
Direct
0.000 0.000 0.000
0.500 0.500 0.500
0.000 0.500 0.250
0.500 0.000 0.750
0.000 0.000 0.500
0.000 0.500 0.750
0.500 0.000 0.250
0.500 0.500 0.000

=====

Question: Among the records above, which one has the lowest total DFT energy (no corrections)?
Answer: BaTc2Ni